# 1
## RbIr3W (GGA-PBE)

Data for RbIr3W after structural relaxation.

Space-group type: No. 221
Formation energy from the elements: 3.714 eV/atom
VASP energy: -4.387 eV per atom
E above lowest polymorph: 2400 meV per atom

Unit cell a=4.6913 b=4.6913 c=4.6913 alpha=90.00 beta=90.00 gamma=90.00
Closest atoms and distances in Å follow each position.
Element x y z (fractional)
Ir1 0.0000 0.0000 0.5000  2 Rb 2.35
Ir2 0.5000 0.0000 0.0000  2 Rb 2.35
Ir3 0.0000 0.5000 0.0000  2 Rb 2.35
W1 0.5000 0.5000 0.5000  12 Ir 3.32
Rb1 0.0000 0.0000 0.0000  6 Ir 2.35

***

# 2
## EuHoCu2 (GGA-PBE)

Data for EuHoCu2 after structural relaxation.

Space-group type: No. 225
Formation energy from the elements: -0.126 eV/atom
VASP energy: -5.887 eV per atom
E above lowest polymorph: 49 meV per atom

Unit cell a=4.9894 b=4.9894 c=4.9894 alpha=60.00 beta=60.00 gamma=60.00
Closest atoms and distances in Å follow each position.
Element x y z (fractional)
Eu1 0.0000 0.0000 0.0000  8 Cu 3.06
Cu1 0.2500 0.2500 0.2500  4 Eu 3.06, 4 Ho 3.06
Cu2 0.7500 0.7500 0.7500  4 Eu 3.06, 4 Ho 3.06
Ho1 0.5000 0.5000 0.5000  8 Cu 3.06

***

# 3
## MgSn3Ge (GGA-PBE)

Data for MgSn3Ge after structural relaxation.

Space-group type: No. 221
Formation energy from the elements: 0.469 eV/atom
VASP energy: -3.175 eV per atom
E above lowest polymorph: 0 meV per atom

Unit cell a=5.3728 b=5.3728 c=5.3728 alpha=90.00 beta=90.00 gamma=90.00
Closest atoms and distances in Å follow each position.
Element x y z (fractional)
Mg1 0.5000 0.5000 0.5000  12 Sn 3.80
Sn1 0.0000 0.5000 0.0000  2 Ge 2.69
Sn2 0.0000 0.0000 0.5000  2 Ge 2.69
Sn3 0.5000 0.0000 0.0000  2 Ge 2.69
Ge1 0.0000 0.0000 0.0000  6 Sn 2.69

***

# 4
## MnReTc2 (GGA-PBE)

Data for MnReTc2 after structural relaxation.

Space-group type: No. 122
Formation energy from the elements: 1.474 eV/atom
VASP energy: -9.113 eV per atom

Unit cell a=5.3661 b=5.3661 c=6.7222 alpha=66.48 beta=66.48 gamma=90.00
Closest atoms and distances in Å follow each position.
Element x y z (fractional)
Tc1 0.5972 0.1250 0.2500  2 Mn 2.27, 2 Re 2.44
Tc2 0.1528 0.6250 0.2500  2 Mn 2.27, 2 Re 2.44
Tc3 0.3750 0.4028 0.7500  2 Mn 2.27, 2 Re 2.44
Tc4 0.8750 0.8472 0.7500  2 Mn 2.27, 2 Re 2.44
Re1 0.0000 0.0000 0.0000  4 Tc 2.44
Re2 0.7500 0.2500 0.5000  4 Tc 2.44
Mn1 0.5000 0.5000 0.0000  4 Tc 2.27
Mn2 0.2500 0.7500 0.5000  4 Tc 2.27

***

# 5
## Gd2NiIr (GGA-PBE)

Data for Gd2NiIr after structural relaxation.

Space-group type: No. 225
Formation energy from the elements: -0.580 eV/atom
VASP energy: -11.281 eV per atom
E above lowest polymorph: 0 meV per atom

Unit cell a=4.8670 b=4.8670 c=4.8670 alpha=60.00 beta=60.00 gamma=60.00
Closest atoms and distances in Å follow each position.
Element x y z (fractional)
Gd1 0.7500 0.7500 0.7500  4 Ni 2.98, 4 Ir 2.98
Gd2 0.2500 0.2500 0.2500  4 Ni 2.98, 4 Ir 2.98
Ni1 0.0000 0.0000 0.0000  8 Gd 2.98
Ir1 0.5000 0.5000 0.5000  8 Gd 2.98

***

# 6
## Zr2Ti2Hg (GGA-PBE)

Data for Zr2Ti2Hg after structural relaxation.

Space-group type: No. 127
Formation energy from the elements: 0.004 eV/atom
VASP energy: -6.634 eV per atom
E above lowest polymorph: 59 meV per atom

Unit cell a=7.2556 b=7.2556 c=3.8681 alpha=90.00 beta=90.00 gamma=90.00
Closest atoms and distances in Å follow each position.
Element x y z (fractional)
Hg1 0.0000 0.0000 0.0000  4 Ti 2.84
Hg2 0.5000 0.5000 0.0000  4 Ti 2.84
Zr1 0.6655 0.8345 0.5000  6 Ti 2.85-2.90
Zr2 0.1655 0.6655 0.5000  6 Ti 2.85-2.90
Zr3 0.3345 0.1655 0.5000  6 Ti 2.85-2.90
Zr4 0.8345 0.3345 0.5000  6 Ti 2.85-2.90
Ti1 0.1303 0.3697 0.0000  1 Ti 2.67, 2 Hg 2.84, 6 Zr 2.85-2.90
Ti2 0.3697 0.8697 0.0000  1 Ti 2.67, 2 Hg 2.84, 6 Zr 2.85-2.90
Ti3 0.6303 0.1303 0.0000  1 Ti 2.67, 2 Hg 2.84, 6 Zr 2.85-2.90
Ti4 0.8697 0.6303 0.0000  1 Ti 2.67, 2 Hg 2.84, 6 Zr 2.85-2.90

***

# 7
## Sr2MnRe (GGA-PBE)

Data for Sr2MnRe after structural relaxation.

Space-group type: No. 10
Formation energy from the elements: 1.143 eV/atom
VASP energy: -5.103 eV per atom
E above lowest polymorph: 762 meV per atom

Unit cell a=4.7873 b=3.0545 c=7.4581 alpha=66.02 beta=90.00 gamma=90.00
Closest atoms and distances in Å follow each position.
Element x y z (fractional)
Mn1 0.5000 0.2500 0.2500  2 Mn 3.05, 8 Sr 3.34-3.35, 2 Re 3.41
Sr1 0.0000 0.0111 0.9900  3 Sr 3.05-3.27, 4 Re 3.28, 4 Mn 3.34-3.35
Sr2 0.0000 0.4889 0.5100  3 Sr 3.05-3.27, 4 Re 3.28, 4 Mn 3.34-3.35
Re1 0.5000 0.7500 0.7500  2 Re 3.05, 8 Sr 3.28, 2 Mn 3.41

***

# 8
## La3Sm5Tl2 (GGA-PBE)

Data for La3Sm5Tl2 after structural relaxation.

Space-group type: No. 72
Formation energy from the elements: 0.036 eV/atom
VASP energy: -4.275 eV per atom

Unit cell a=6.7127 b=10.7619 c=10.7619 alpha=91.97 beta=71.83 gamma=71.83
Closest atoms and distances in Å follow each position.
Element x y z (fractional)
La1 0.7500 0.0000 0.0000  4 Tl 3.34, 2 La 3.36, 2 Sm 3.42
La2 0.8714 0.8903 0.3669  4 Sm 3.45-3.77, 4 Tl 3.63-3.82
La3 0.3714 0.3669 0.8903  4 Sm 3.45-3.77, 4 Tl 3.63-3.82
La4 0.2500 0.0000 0.0000  4 Tl 3.34, 2 La 3.36, 2 Sm 3.42
La5 0.6286 0.6331 0.1097  4 Sm 3.45-3.77, 4 Tl 3.63-3.82
La6 0.1286 0.1097 0.6331  4 Sm 3.45-3.77, 4 Tl 3.63-3.82
Sm1 0.7500 0.5000 0.5000  8 Sm 3.26-3.36
Sm2 0.5057 0.7443 0.7443  2 Tl 3.22, 5 Sm 3.26-3.58, 1 La 3.42
Sm3 0.6029 0.2335 0.5606  1 Tl 3.00, 2 Sm 3.33
Sm4 0.3971 0.7665 0.4394  1 Tl 3.00, 2 Sm 3.33
Sm5 0.0057 0.7443 0.7443  2 Tl 3.22, 5 Sm 3.26-3.58, 1 La 3.42
Sm6 0.2500 0.5000 0.5000  8 Sm 3.26-3.36
Sm7 0.1029 0.5606 0.2335  1 Tl 3.00, 2 Sm 3.33
Sm8 0.9943 0.2557 0.2557  2 Tl 3.22, 5 Sm 3.26-3.58, 1 La 3.42
Sm9 0.8971 0.4394 0.7665  1 Tl 3.00, 2 Sm 3.33
Sm10 0.4943 0.2557 0.2557  2 Tl 3.22, 5 Sm 3.26-3.58, 1 La 3.42
Tl1 0.6361 0.0087 0.7191  3 Sm 3.00-3.22, 2 La 3.34
Tl2 0.3639 0.9913 0.2809  3 Sm 3.00-3.22, 2 La 3.34
Tl3 0.8639 0.2809 0.9913  3 Sm 3.00-3.22, 2 La 3.34
Tl4 0.1361 0.7191 0.0087  3 Sm 3.00-3.22, 2 La 3.34

***

# 9
## Ag2SnGe (GGA-PBE)

Data for Ag2SnGe after structural relaxation.

Space-group type: No. 123
Formation energy from the elements: 0.142 eV/atom
VASP energy: -3.439 eV per atom

Unit cell a=3.1806 b=3.1806 c=8.1086 alpha=90.00 beta=90.00 gamma=90.00
Closest atoms and distances in Å follow each position.
Element x y z (fractional)
Ag1 0.0000 0.0000 0.2272  4 Ge 2.91, 4 Sn 3.15, 4 Ag 3.18
Ag2 0.0000 0.0000 0.7728  4 Ge 2.91, 4 Sn 3.15, 4 Ag 3.18
Sn1 0.5000 0.5000 0.5000  8 Ag 3.15, 4 Sn 3.18
Ge1 0.5000 0.5000 0.0000  8 Ag 2.91, 4 Ge 3.18

***

# 10
## HfCo3Ru (GGA-PBE)

Data for HfCo3Ru after structural relaxation.

Space-group type: No. 221
Formation energy from the elements: 1.033 eV/atom
VASP energy: -7.077 eV per atom
E above lowest polymorph: 0 meV per atom

Unit cell a=4.3602 b=4.3602 c=4.3602 alpha=90.00 beta=90.00 gamma=90.00
Closest atoms and distances in Å follow each position.
Element x y z (fractional)
Hf1 0.5000 0.5000 0.5000  12 Co 3.08
Co1 0.0000 0.0000 0.5000  2 Ru 2.18
Co2 0.5000 0.0000 0.0000  2 Ru 2.18
Co3 0.0000 0.5000 0.0000  2 Ru 2.18
Ru1 0.0000 0.0000 0.0000  6 Co 2.18

***

# 11
## HoLu2Fe (GGA-PBE)

Data for HoLu2Fe after structural relaxation.

Space-group type: No. 123
Formation energy from the elements: 0.025 eV/atom
VASP energy: -5.496 eV per atom

Unit cell a=3.2908 b=3.2908 c=8.7740 alpha=90.00 beta=90.00 gamma=90.00
Closest atoms and distances in Å follow each position.
Element x y z (fractional)
Ho1 0.5000 0.5000 0.5000  4 Ho 3.29, 8 Lu 3.66
Lu1 0.0000 0.0000 0.1786  4 Fe 2.81, 1 Lu 3.13
Lu2 0.0000 0.0000 0.8214  4 Fe 2.81, 1 Lu 3.13
Fe1 0.5000 0.5000 0.0000  8 Lu 2.81

***

# 12
## As3RhAu (GGA-PBE)

Data for As3RhAu after structural relaxation.

Space-group type: No. 221
Formation energy from the elements: 0.539 eV/atom
VASP energy: -4.376 eV per atom
E above lowest polymorph: 0 meV per atom

Unit cell a=4.7985 b=4.7985 c=4.7985 alpha=90.00 beta=90.00 gamma=90.00
Closest atoms and distances in Å follow each position.
Element x y z (fractional)
As1 0.0000 0.0000 0.5000  2 Rh 2.40
As2 0.0000 0.5000 0.0000  2 Rh 2.40
As3 0.5000 0.0000 0.0000  2 Rh 2.40
Au1 0.5000 0.5000 0.5000  12 As 3.39
Rh1 0.0000 0.0000 0.0000  6 As 2.40